Record 1
DFT (PBE) results for crystalline BeZnHg2Te at its relaxed geometry.

Cell: 5.3093 5.3093 4.4120 Å, 90.00 90.00 90.00°
Closest atoms and distances in Å follow each position.
Atoms (fractional coordinates):
1 Be 0.0000 0.0000 0.0000  2 Zn 2.21
2 Zn 0.0000 0.0000 0.5000  2 Be 2.21
3 Hg 0.0000 0.5000 0.5000  2 Zn 2.65
4 Hg 0.5000 0.0000 0.5000  2 Zn 2.65
5 Te 0.5000 0.5000 0.0000  8 Hg 3.45, 4 Be 3.75

Values from the calculation:
- E (eV/cell) = -6.2
- space-group type = P4/mmm
- uncorrected formation energy (eV per atom) = 0.51

Record 2
DFT (PBE) results for crystalline Si2GeSb at its relaxed geometry.

Cell: 6.8617 6.8617 6.8617 Å, 126.82 126.82 78.55°
Closest atoms and distances in Å follow each position.
Atoms (fractional coordinates):
1 Si 0.0928 0.6250 0.9678  2 Ge 2.43, 2 Sb 2.67
2 Si 0.3750 0.3428 0.4678  2 Ge 2.43, 2 Sb 2.67
3 Si 0.6572 0.1250 0.0322  2 Ge 2.43, 2 Sb 2.67
4 Si 0.8750 0.9072 0.5322  2 Ge 2.43, 2 Sb 2.67
5 Ge 0.0000 0.0000 0.0000  4 Si 2.43
6 Ge 0.7500 0.2500 0.5000  4 Si 2.43
7 Sb 0.2500 0.7500 0.5000  4 Si 2.67
8 Sb 0.5000 0.5000 0.0000  4 Si 2.67

Values from the calculation:
- E (eV/cell) = -36.9
- energy above the lowest structure with this stoichiometry (kJ/mol of formula units) = 0
- space-group type = I-42d
- uncorrected formation energy (eV per atom) = 0.29

Record 3
DFT (PBE) results for crystalline Tc2PtRh8 at its relaxed geometry.

Cell: 7.1388 7.1388 7.1388 Å, 147.98 119.63 69.98°
Closest atoms and distances in Å follow each position.
Atoms (fractional coordinates):
1 Tc 0.1899 0.1899 0.0000  10 Rh 2.58-2.65
2 Tc 0.8101 0.8101 0.0000  10 Rh 2.58-2.65
3 Pt 0.5000 0.5000 0.0000  12 Rh 2.69-2.93
4 Rh 0.0692 0.3419 0.7272  3 Tc 2.58-2.65, 5 Rh 2.66-2.78, 1 Pt 2.69
5 Rh 0.1983 0.0000 0.1983  2 Tc 2.64, 7 Rh 2.71-2.88, 2 Pt 2.93
6 Rh 0.3382 0.8382 0.5000  2 Tc 2.62, 8 Rh 2.66-2.88, 2 Pt 2.73
7 Rh 0.3853 0.6581 0.7272  3 Tc 2.58-2.65, 5 Rh 2.66-2.78, 1 Pt 2.69
8 Rh 0.6147 0.3419 0.2728  3 Tc 2.58-2.65, 5 Rh 2.66-2.78, 1 Pt 2.69
9 Rh 0.6618 0.1618 0.5000  2 Tc 2.62, 8 Rh 2.66-2.88, 2 Pt 2.73
10 Rh 0.8017 0.0000 0.8017  2 Tc 2.64, 7 Rh 2.71-2.88, 2 Pt 2.93
11 Rh 0.9308 0.6581 0.2728  3 Tc 2.58-2.65, 5 Rh 2.66-2.78, 1 Pt 2.69

Values from the calculation:
- E (eV/cell) = -84.6
- ΔH_f (0 K) (eV/atom) = 0.09
- space-group type = Immm

Record 4
DFT (PBE) results for crystalline CrAg2Mo at its relaxed geometry.

Cell: 9.5553 9.5553 9.5553 Å, 17.08 17.08 17.08°
Closest atoms and distances in Å follow each position.
Atoms (fractional coordinates):
1 Cr 0.0000 0.0000 0.0000  3 Mo 2.65, 6 Cr 2.84, 3 Ag 2.86
2 Ag 0.2504 0.2504 0.2504  9 Ag 2.84-2.99, 3 Cr 2.86
3 Ag 0.4953 0.4953 0.4953  9 Ag 2.84-2.99, 3 Mo 2.99
4 Mo 0.7402 0.7402 0.7402  3 Cr 2.65, 6 Mo 2.84

Values from the calculation:
- E (eV/cell) = -24.4
- ΔH_f (0 K) (eV/atom) = 0.44
- energy above the lowest structure with this stoichiometry (kJ/mol of formula units) = 41
- space-group type = R3m